Record 1
Ba3As | PBE | optimized geometry

## Properties
Uncorrected energy, eV/f.u.: -10.94
Excess energy over the best structure of this formula in the dataset, eV per atom: 0.486

Cell and atoms, written as extended XYZ:
```
4
Lattice="6.055 0.000 0.000 3.028 5.244 0.000 3.028 1.748 4.944" Properties=species:S:1:pos:R:3 pbc="T T T"
Ba 9.083 5.244 3.708
Ba 6.055 3.496 2.472
Ba 3.028 1.748 1.236
As 0.000 0.000 0.000
```



Record 2
BaAs8 | PBE | optimized geometry

## Properties
Uncorrected energy, eV/f.u.: -38.19

Cell and atoms, written as extended XYZ:
```
9
Lattice="0.774 -6.316 3.162 -0.520 6.857 1.788 -6.740 -0.878 -2.069" Properties=species:S:1:pos:R:3 pbc="T T T"
As -2.675 2.203 -0.104
As -0.153 3.125 2.177
As -2.739 0.008 2.651
As -3.747 -0.344 0.230
As -3.769 -4.543 0.690
As -4.586 3.776 -0.178
As -2.198 -2.650 0.403
As 0.407 -2.583 2.773
Ba 0.000 0.000 0.000
```



Record 3
Ba4As3 | PBE | optimized geometry

## Properties
Uncorrected energy, eV/f.u.: -29.02

Cell and atoms, written as extended XYZ:
```
14
Lattice="-8.422 2.202 -0.243 0.762 -8.646 -0.711 3.466 2.608 7.552" Properties=species:S:1:pos:R:3 pbc="T T T"
Ba -1.522 -1.392 2.394
As -3.865 0.039 4.271
As 0.480 -6.638 1.235
Ba -4.985 -2.920 -0.510
Ba -3.736 1.458 0.914
Ba 1.837 0.119 3.678
Ba -3.620 -3.310 5.693
As 1.022 1.752 6.458
As -6.746 0.091 0.554
Ba -0.773 -4.021 -0.389
Ba 2.218 -4.204 3.323
As -3.393 -4.130 2.147
As -0.083 -2.622 5.128
Ba -2.003 2.762 4.689
```



Listing D(E_F) for the structures above in their given order: 5.28 6.91 9.86 states/eV/f.u..